1.
This record from Alexandria via LeMat-Bulk describes a geometry-optimized UAl6Fe6 structure. The functional is PBE.

a = 6.544 Å, b = 6.544 Å, c = 6.544 Å
α = 135.68°, β = 99.03°, γ = 97.33°
Fractional coordinates of all 13 atoms:
U  0.000  0.000  0.000
Al  0.199  0.699  0.500
Al  0.342  0.000  0.342
Al  0.348  0.348  0.000
Al  0.652  0.652  0.000
Al  0.658  0.000  0.658
Al  0.801  0.301  0.500
Fe  0.000  0.000  0.500
Fe  0.000  0.500  0.000
Fe  0.231  0.500  0.731
Fe  0.500  0.000  0.000
Fe  0.500  0.500  0.500
Fe  0.769  0.500  0.269

Results
ΔE_f: -301.6 meV per atom

=====

2.
This record from Alexandria via LeMat-Bulk describes a geometry-optimized U3Al12Fe4 structure. The functional is PBE.

a = 8.680 Å, b = 8.680 Å, c = 9.186 Å
α = 90.00°, β = 90.00°, γ = 120.00°
Fractional coordinates of all 38 atoms:
U  0.203  0.407  0.250
U  0.203  0.797  0.250
U  0.407  0.203  0.750
U  0.593  0.797  0.250
U  0.797  0.203  0.750
U  0.797  0.593  0.750
Al  0.000  0.000  0.250
Al  0.000  0.000  0.750
Al  0.121  0.560  0.750
Al  0.159  0.317  0.579
Al  0.159  0.317  0.921
Al  0.159  0.841  0.579
Al  0.159  0.841  0.921
Al  0.317  0.159  0.079
Al  0.317  0.159  0.421
Al  0.333  0.667  0.006
Al  0.333  0.667  0.494
Al  0.440  0.560  0.750
Al  0.440  0.879  0.750
Al  0.560  0.121  0.250
Al  0.560  0.440  0.250
Al  0.667  0.333  0.506
Al  0.667  0.333  0.994
Al  0.683  0.841  0.579
Al  0.683  0.841  0.921
Al  0.841  0.159  0.079
Al  0.841  0.159  0.421
Al  0.841  0.683  0.079
Al  0.841  0.683  0.421
Al  0.879  0.440  0.250
Fe  0.000  0.000  0.000
Fe  0.000  0.000  0.500
Fe  0.000  0.500  0.000
Fe  0.000  0.500  0.500
Fe  0.500  0.000  0.000
Fe  0.500  0.000  0.500
Fe  0.500  0.500  0.000
Fe  0.500  0.500  0.500

Results
ΔE_f: -285.0 meV per atom

=====

3.
This record from Alexandria via LeMat-Bulk describes a geometry-optimized U2AlFe9 structure. The functional is PBE.

a = 8.776 Å, b = 8.776 Å, c = 8.776 Å
α = 30.96°, β = 30.96°, γ = 30.96°
Fractional coordinates of all 12 atoms:
U  0.144  0.144  0.144
U  0.856  0.856  0.856
Al  0.000  0.000  0.000
Fe  0.081  0.580  0.580
Fe  0.333  0.333  0.333
Fe  0.420  0.420  0.919
Fe  0.420  0.919  0.420
Fe  0.500  0.500  0.500
Fe  0.580  0.081  0.580
Fe  0.580  0.580  0.081
Fe  0.667  0.667  0.667
Fe  0.919  0.420  0.420

Results
ΔE_f: 10.7 meV per atom

=====

4.
This record from Alexandria via LeMat-Bulk describes a geometry-optimized UAlFe2 structure. The functional is PBE.

a = 6.196 Å, b = 7.665 Å, c = 5.679 Å
α = 90.00°, β = 115.01°, γ = 90.00°
Fractional coordinates of all 16 atoms:
U  0.243  0.110  0.228
U  0.243  0.390  0.728
U  0.757  0.610  0.272
U  0.757  0.890  0.772
Al  0.231  0.533  0.219
Al  0.231  0.967  0.719
Al  0.769  0.033  0.281
Al  0.769  0.467  0.781
Fe  0.115  0.652  0.767
Fe  0.115  0.848  0.267
Fe  0.470  0.710  0.656
Fe  0.470  0.790  0.156
Fe  0.530  0.210  0.844
Fe  0.530  0.290  0.344
Fe  0.885  0.152  0.733
Fe  0.885  0.348  0.233

Results
ΔE_f: -224.6 meV per atom

=====

5.
This record from Alexandria via LeMat-Bulk describes a geometry-optimized U2AlFe2 structure. The functional is PBE.

a = 4.861 Å, b = 4.861 Å, c = 7.511 Å
α = 123.07°, β = 123.07°, γ = 33.62°
Fractional coordinates of all 5 atoms:
U  0.145  0.145  0.219
U  0.855  0.855  0.781
Al  0.000  0.000  0.500
Fe  0.365  0.365  0.163
Fe  0.635  0.635  0.837

Results
ΔE_f: 23.8 meV per atom

=====

6.
This record from Alexandria via LeMat-Bulk describes a geometry-optimized UAlFe2 structure. The functional is PBE.

a = 2.874 Å, b = 2.874 Å, c = 6.665 Å
α = 90.00°, β = 90.00°, γ = 90.00°
Fractional coordinates of all 4 atoms:
U  0.000  0.000  0.000
Al  0.000  0.000  0.500
Fe  0.500  0.500  0.280
Fe  0.500  0.500  0.720

Results
ΔE_f: -136.2 meV per atom

=====

7.
This record from Alexandria via LeMat-Bulk describes a geometry-optimized UAlFe2 structure. The functional is PBE.

a = 4.219 Å, b = 4.219 Å, c = 3.238 Å
α = 90.00°, β = 90.00°, γ = 90.00°
Fractional coordinates of all 4 atoms:
U  0.000  0.000  0.000
Al  0.500  0.500  0.000
Fe  0.000  0.500  0.500
Fe  0.500  0.000  0.500

Results
ΔE_f: -156.1 meV per atom

=====

8.
This record from Alexandria via LeMat-Bulk describes a geometry-optimized Al4VFe5 structure. The functional is PBE.

a = 2.866 Å, b = 2.866 Å, c = 14.341 Å
α = 90.00°, β = 90.00°, γ = 90.00°
Fractional coordinates of all 10 atoms:
Al  0.000  0.000  0.101
Al  0.000  0.000  0.300
Al  0.000  0.000  0.700
Al  0.000  0.000  0.899
V  0.000  0.000  0.500
Fe  0.500  0.500  0.000
Fe  0.500  0.500  0.200
Fe  0.500  0.500  0.405
Fe  0.500  0.500  0.595
Fe  0.500  0.500  0.800

Results
ΔE_f: -346.4 meV per atom

=====

9.
This record from Alexandria via LeMat-Bulk describes a geometry-optimized AlV2Fe2 structure. The functional is PBE.

a = 6.923 Å, b = 6.923 Å, c = 2.686 Å
α = 90.00°, β = 90.00°, γ = 90.00°
Fractional coordinates of all 10 atoms:
Al  0.000  0.000  0.000
Al  0.500  0.500  0.000
V  0.148  0.352  0.000
V  0.352  0.852  0.000
V  0.648  0.148  0.000
V  0.852  0.648  0.000
Fe  0.145  0.645  0.500
Fe  0.355  0.145  0.500
Fe  0.645  0.855  0.500
Fe  0.855  0.355  0.500

Results
Distance to the lowest polymorph of the same formula: 239 meV per atom
ΔE_f: 81.6 meV per atom

=====

10.
This record from Alexandria via LeMat-Bulk describes a geometry-optimized Al2VFe2 structure. The functional is PBE.

a = 6.621 Å, b = 6.621 Å, c = 2.897 Å
α = 90.00°, β = 90.00°, γ = 90.00°
Fractional coordinates of all 10 atoms:
Al  0.148  0.352  0.000
Al  0.352  0.852  0.000
Al  0.648  0.148  0.000
Al  0.852  0.648  0.000
V  0.000  0.000  0.500
V  0.500  0.500  0.500
Fe  0.151  0.651  0.500
Fe  0.349  0.151  0.500
Fe  0.651  0.849  0.500
Fe  0.849  0.349  0.500

Results
Distance to the lowest polymorph of the same formula: 147 meV per atom
ΔE_f: -65.8 meV per atom

=====

11.
This record from Alexandria via LeMat-Bulk describes a geometry-optimized AlV3Fe4 structure. The functional is PBE.

a = 2.877 Å, b = 4.048 Å, c = 8.063 Å
α = 90.00°, β = 90.00°, γ = 90.00°
Fractional coordinates of all 8 atoms:
Al  0.000  0.000  0.000
V  0.000  0.000  0.500
V  0.000  0.500  0.247
V  0.000  0.500  0.753
Fe  0.500  0.000  0.254
Fe  0.500  0.000  0.746
Fe  0.500  0.500  0.000
Fe  0.500  0.500  0.500

Results
ΔE_f: -248.3 meV per atom

=====

12.
This record from Alexandria via LeMat-Bulk describes a geometry-optimized AlV2Fe2 structure. The functional is PBE.

a = 6.507 Å, b = 6.507 Å, c = 2.554 Å
α = 98.61°, β = 98.61°, γ = 35.56°
Fractional coordinates of all 5 atoms:
Al  0.000  0.000  0.000
V  0.199  0.199  0.785
V  0.801  0.801  0.215
Fe  0.397  0.397  0.551
Fe  0.603  0.603  0.449

Results
Distance to the lowest polymorph of the same formula: 4 meV per atom
ΔE_f: -152.8 meV per atom

=====

Listing density of states at the Fermi level for the structures above in their given order: 10.115, 18.217, 16.844, 4.126, 7.380, 5.824, 3.927, 8.874, 4.940, 4.870, 6.906, 3.624 states/eV/f.u..